A plane-wave DFT calculation with PBE-GGA was carried out for crystalline LiMn2Au8 at its relaxed geometry.

Results
- ΔE_f (eV per atom) = -0.16
- total energy (eV per formula unit) = -48.258
- spin magnetization (μB per atom) = 0.770
- crystal system = monoclinic

Cell lengths 4.159, 6.618, 7.533 Å; angles 107.84, 106.02, 90.00 degrees
Fractional coordinates of all 11 atoms:
Li 0.500 0.000 0.000
Mn 0.222 0.646 0.445
Mn 0.778 0.354 0.555
Au 0.600 0.453 0.200
Au 0.321 0.085 0.642
Au 0.142 0.194 0.284
Au 0.043 0.732 0.086
Au 0.858 0.806 0.716
Au 0.679 0.915 0.358
Au 0.400 0.547 0.800
Au 0.957 0.268 0.914